First-principles (GGA-PBE) data for NbCo2Sn after structural relaxation, as listed in Alexandria.

Cell: 3.384 4.204 4.204 Å, 90.00 90.00 90.00°
Site moments in Bohr magnetons follow the coordinates.
Fractional positions:
Sn (0.500, 0.000, 0.000)  0.00
Nb (0.500, 0.500, 0.500)  0.17
Co (0.000, 0.000, 0.500)  1.01
Co (0.000, 0.500, 0.000)  1.01

Computed properties:
symmetry: P4/mmm, No. 123
VASP energy: -7.084 eV per atom
formation energy from the elements: -0.1 eV/f.u.
volume: 14.95 A^3/atom